PmSmNO | PBE | optimized geometry

Cell lengths 3.9350, 6.8034, 5.8408 Å; angles 90.00, 90.00, 90.00 degrees
Closest atoms and distances in Å follow each position.
Space group Pmc2_1 (No. 26)
One atom of each set of equivalent atoms:
Pm 0.0000 0.1682 0.0000  2 N 2.32-2.37, 2 O 2.33
Sm 0.5000 0.3353 0.4990  2 O 2.31-2.37, 2 N 2.35
N 0.0000 0.1638 0.4060  2 Pm 2.32-2.37, 2 Sm 2.35
O 0.5000 0.3281 0.8949  2 Sm 2.31-2.37, 2 Pm 2.33

Output
**Final energy**: -30.6 eV/f.u.